[1]
TbPm5N6, relaxed, DFT PBE-GGA; formation energy without anion corrections = -1469.5 meV/atom; uncorrected energy = -7.997 eV/atom; size of the total moment = 0.00 μB per formula unit
1.0
6.1539 0.1489 0.9342
1.5105 5.2185 3.0421
0.1027 0.0554 6.2261
N Pm Tb
6 5 1
Cartesian
2.9777 4.8623 7.2017
5.3213 2.2951 6.1333
2.4459 3.1277 4.0692
1.8975 1.3216 0.9805
5.7670 4.0458 2.9958
4.7895 0.5605 3.0008
4.3709 4.4453 5.0709
3.8322 2.6837 1.9882
3.3963 0.9775 5.1315
0.5376 1.7574 3.0905
1.0757 3.5166 6.1777
0.0000 0.0000 0.0000

---

[2]
Pr3Dy2Er8, relaxed, DFT PBE-GGA; uncorrected energy = -4.593 eV/atom; size of the total moment = 0.00 μB per formula unit; relative energy among the computed polymorphs = 0.0 meV per atom; formation energy = 0.03 eV per atom
1.0
6.0899 -0.1335 0.9783
-1.2747 5.6053 2.2334
-1.8042 -2.4622 10.8204
Er Pr Dy
8 3 2
Cartesian
3.4330 0.8136 11.2065
3.8286 -1.3791 8.4483
2.4185 3.2165 4.6967
-0.3097 3.1913 8.8222
3.3207 -0.1817 5.2100
0.5925 -0.2069 9.3355
-0.8175 4.3887 5.5839
-0.4220 2.1960 2.8256
0.0000 0.0000 0.0000
0.1702 1.9821 12.1256
2.8408 1.0275 1.9066
2.9317 2.0235 7.9422
0.0793 0.9861 6.0900

---

[3]
Ni3H4, relaxed, DFT PBE-GGA; uncorrected energy = -4.428 eV/atom; size of the total moment = 0.00 μB per formula unit; relative energy among the computed polymorphs = 0.0 meV per atom
1.0
3.5869 0.0000 0.0000
0.0000 3.5869 0.0000
0.0000 0.0000 3.5869
H Ni
4 3
Cartesian
1.7934 1.7934 0.0000
0.0000 0.0000 0.0000
0.0000 1.7934 1.7934
1.7934 0.0000 1.7934
0.0000 1.7934 0.0000
1.7934 0.0000 0.0000
0.0000 0.0000 1.7934

---

[4]
Pm3PbS2, relaxed, DFT PBE-GGA; formation energy without anion corrections = -1295.8 meV/atom; uncorrected energy = -5.665 eV/atom; size of the total moment = 0.00 μB per formula unit
1.0
-1.6738 0.8974 -3.8429
-5.0953 -4.3708 3.5894
-4.6729 8.8078 4.0921
Pm S Pb
6 4 2
Cartesian
-4.3596 6.0406 3.3094
-6.8153 2.0386 3.4445
-2.7584 -0.2258 -1.2421
-8.6836 5.5601 5.0806
-4.6267 3.2957 0.3940
-7.0824 -0.7062 0.5291
-9.0001 2.9724 4.6142
-2.3364 4.4039 2.0460
0.0000 0.0000 0.0000
-2.4418 2.3619 -0.7757
-7.2212 5.1506 1.9572
-4.2207 0.1837 1.8813

---

[5]
Cs3Tl6BiSb2, relaxed, DFT PBE-GGA; formation energy without anion corrections = -12.7 meV/atom; uncorrected energy = -2.420 eV/atom; size of the total moment = 0.00 μB per formula unit
1.0
8.4922 0.0000 0.0000
-4.2461 7.3545 0.0000
0.0000 0.0000 9.8361
Tl Cs Sb Bi
6 3 2 1
Cartesian
2.6467 1.5281 5.6842
1.5994 5.8264 4.1519
4.2461 4.2984 5.6842
-1.5994 5.8264 4.1519
0.0000 3.0561 4.1519
5.8456 1.5281 5.6842
4.2461 2.4515 2.0642
0.0000 0.0000 0.0000
0.0000 4.9030 7.7719
4.2461 2.4515 8.2321
0.0000 4.9030 1.6040
0.0000 0.0000 4.9180

---

[6]
CeSm2PaSb4, relaxed, DFT PBE-GGA; formation energy without anion corrections = -960.4 meV/atom; uncorrected energy = -6.130 eV/atom; size of the total moment = 1.78 μB per formula unit
1.0
-4.4030 0.5953 -0.0795
-0.1092 -1.8083 -7.4943
-0.9423 -6.4094 4.1917
Sm Sb Ce Pa
2 4 1 1
Cartesian
-0.5258 -4.1088 -1.6513
-2.6726 -2.9070 2.0561
-0.3132 -2.9235 -4.5502
-0.7384 -5.2942 1.2476
-2.9917 -5.8722 -2.4796
-2.4628 -1.7501 -0.9025
0.0000 0.0000 0.0000
-2.2561 -0.6065 -3.7869

---

[7]
BaLiCd2Hg5, relaxed, DFT PBE-GGA; uncorrected energy = -0.982 eV/atom; size of the total moment = 0.00 μB per formula unit; formation energy = -0.18 eV per atom
1.0
5.1224 0.0000 0.0000
0.0000 6.8373 0.0000
-2.5612 -3.4186 7.3618
Hg Li Ba Cd
5 1 1 2
Cartesian
0.0000 -1.6879 5.2261
0.0000 0.0000 0.0000
0.0000 1.6879 5.2261
2.5612 5.1066 2.1356
2.5612 1.7307 2.1356
2.5612 0.0000 0.0000
0.0000 3.4186 0.0000
2.5612 3.4186 4.5138
0.0000 0.0000 2.8480

---

[8]
KRb2BaAg, relaxed, DFT PBE-GGA; uncorrected energy = -1.499 eV/atom; size of the total moment = 0.00 μB per formula unit; formation energy = 0.06 eV per atom
1.0
-4.0263 3.1159 -4.8630
-5.5139 -0.3094 4.3670
1.6350 5.9977 2.4893
K Rb Ba Ag
1 2 1 1
Cartesian
-3.9526 4.4021 0.9966
-2.0132 1.5580 -2.4315
-2.7570 -0.1547 2.1835
0.8175 2.9989 1.2446
0.0000 0.0000 0.0000